A relaxed structure of MgPd5Au3, computed with PBE.

As for the crystal system: tetragonal. The uncorrected energy comes out at -4.059 eV/atom. The value obtained for the energy of formation is 0.095 eV/atom.

The space group is I4/mcm (No. 140) and the conventional cell measures 7.4567, 7.4567 and 11.5974 Å, with angles of 90.00, 90.00 and 90.00 degrees. Symmetry generates all atoms from Mg at (0.0000, 0.5000, 0.2500), Pd at (0.0000, 0.0000, 0.0000), Pd at (0.1971, 0.3029, 0.1430), Au at (0.0000, 0.0000, 0.2500) and Au at (0.1192, 0.3808, 0.5000).